VASP calculation (GGA-PBE) on an optimized crystal structure of PrErZr2.

a = 4.753 Å, b = 4.753 Å, c = 4.824 Å
α = 90.00°, β = 90.00°, γ = 90.00°
Atoms (fractional coordinates):
Pr: 0.000 0.000 0.000
Er: 0.500 0.500 0.000
Zr: 0.000 0.500 0.500
Zr: 0.500 0.000 0.500

Calculated values
**Formation enthalpy at 0 K**: 0.164 eV per atom
**Energy above the most stable polymorph in this dataset**: 0.0 meV per atom

***

VASP calculation (GGA-PBE) on an optimized crystal structure of Rb2HfBiF6.

a = 7.448 Å, b = 7.448 Å, c = 7.448 Å
α = 127.28°, β = 127.28°, γ = 77.80°
Atoms (fractional coordinates):
Rb: 0.250 0.750 0.500
Rb: 0.750 0.250 0.500
Hf: 0.000 0.000 0.000
Bi: 0.500 0.500 0.000
F: 0.173 0.173 0.000
F: 0.215 0.215 0.429
F: 0.215 0.785 0.000
F: 0.785 0.215 0.000
F: 0.785 0.785 0.571
F: 0.827 0.827 0.000

Calculated values
**Formation energy without anion corrections**: -62.77 kcal/mol of atoms

***

VASP calculation (GGA-PBE) on an optimized crystal structure of Y3Bi.

a = 6.659 Å, b = 4.071 Å, c = 9.533 Å
α = 90.00°, β = 100.53°, γ = 90.00°
Atoms (fractional coordinates):
Y: 0.090 0.250 0.369
Y: 0.230 0.250 0.911
Y: 0.406 0.750 0.636
Y: 0.594 0.250 0.364
Y: 0.770 0.750 0.089
Y: 0.910 0.750 0.631
Bi: 0.288 0.750 0.164
Bi: 0.712 0.250 0.836

Calculated values
**Formation enthalpy at 0 K**: -0.378 eV per atom

***

VASP calculation (GGA-PBE) on an optimized crystal structure of BSbTe2Mo.

a = 5.282 Å, b = 5.282 Å, c = 5.262 Å
α = 90.00°, β = 90.00°, γ = 90.00°
Atoms (fractional coordinates):
B: 0.000 0.000 0.000
Sb: 0.500 0.500 0.000
Te: 0.000 0.500 0.500
Te: 0.500 0.000 0.500
Mo: 0.500 0.500 0.500

Calculated values
**Energy above the most stable polymorph in this dataset**: 263.4 meV per atom
**Formation energy without anion corrections**: 31.37 kcal/mol of atoms

***

VASP calculation (GGA-PBE) on an optimized crystal structure of Mg2CdTc.

a = 2.846 Å, b = 4.831 Å, c = 5.284 Å
α = 90.00°, β = 90.00°, γ = 90.00°
Atoms (fractional coordinates):
Mg: 0.000 0.000 0.000
Mg: 0.000 0.500 0.334
Cd: 0.500 0.000 0.526
Tc: 0.500 0.500 0.840

Calculated values
**Formation enthalpy at 0 K**: 0.198 eV per atom

***

VASP calculation (GGA-PBE) on an optimized crystal structure of Sc3Ir2.

a = 8.481 Å, b = 7.502 Å, c = 5.517 Å
α = 79.70°, β = 60.50°, γ = 39.79°
Atoms (fractional coordinates):
Sc: 0.008 0.008 0.242
Sc: 0.242 0.242 0.008
Sc: 0.375 0.375 0.375
Sc: 0.625 0.625 0.625
Sc: 0.758 0.758 0.992
Sc: 0.992 0.992 0.758
Ir: 0.182 0.182 0.568
Ir: 0.432 0.432 0.818
Ir: 0.568 0.568 0.182
Ir: 0.818 0.818 0.432

Calculated values
**Formation enthalpy at 0 K**: -0.689 eV per atom
**Energy above the most stable polymorph in this dataset**: 167.4 meV per atom

***

VASP calculation (GGA-PBE) on an optimized crystal structure of ZrCdAg.

a = 3.143 Å, b = 3.148 Å, c = 12.790 Å
α = 90.00°, β = 90.20°, γ = 90.00°
Atoms (fractional coordinates):
Zr: 0.249 0.250 0.414
Zr: 0.751 0.750 0.586
Cd: 0.246 0.250 0.091
Cd: 0.754 0.750 0.909
Ag: 0.254 0.250 0.753
Ag: 0.746 0.750 0.247

Calculated values
**Formation enthalpy at 0 K**: -0.078 eV per atom

***

VASP calculation (GGA-PBE) on an optimized crystal structure of Sr3AuF.

a = 5.266 Å, b = 5.266 Å, c = 5.266 Å
α = 90.00°, β = 90.00°, γ = 90.00°
Atoms (fractional coordinates):
Sr: 0.000 0.000 0.500
Sr: 0.000 0.500 0.000
Sr: 0.500 0.000 0.000
Au: 0.500 0.500 0.500
F: 0.000 0.000 0.000

Calculated values
**Energy above the most stable polymorph in this dataset**: 251.1 meV per atom
**Formation energy without anion corrections**: -27.59 kcal/mol of atoms

***

VASP calculation (GGA-PBE) on an optimized crystal structure of CuSiBr2.

a = 6.380 Å, b = 6.380 Å, c = 6.380 Å
α = 113.22°, β = 113.22°, γ = 102.22°
Atoms (fractional coordinates):
Cu: 0.000 0.000 0.000
Cu: 0.750 0.250 0.500
Si: 0.250 0.750 0.500
Si: 0.500 0.500 0.000
Br: 0.083 0.125 0.458
Br: 0.375 0.917 0.042
Br: 0.667 0.625 0.542
Br: 0.875 0.333 0.958

Calculated values
**Energy above the most stable polymorph in this dataset**: 415.8 meV per atom
**Formation energy without anion corrections**: 7.33 kcal/mol of atoms

***

VASP calculation (GGA-PBE) on an optimized crystal structure of Al2TeAs.

a = 5.315 Å, b = 5.315 Å, c = 7.283 Å
α = 109.56°, β = 109.56°, γ = 32.63°
Atoms (fractional coordinates):
Al: 0.000 0.000 0.000
Al: 0.722 0.722 0.003
Te: 0.442 0.442 0.329
As: 0.297 0.297 0.744

Calculated values
**Energy above the most stable polymorph in this dataset**: 346.6 meV per atom
**Formation energy without anion corrections**: 2.25 kcal/mol of atoms

***

VASP calculation (GGA-PBE) on an optimized crystal structure of Cd6Br.

a = 7.058 Å, b = 7.058 Å, c = 7.058 Å
α = 109.47°, β = 109.47°, γ = 109.47°
Atoms (fractional coordinates):
Cd: 0.250 0.500 0.750
Cd: 0.250 0.750 0.500
Cd: 0.500 0.250 0.750
Cd: 0.500 0.750 0.250
Cd: 0.750 0.250 0.500
Cd: 0.750 0.500 0.250
Br: 0.000 0.000 0.000

Calculated values
**Formation energy without anion corrections**: 4.58 kcal/mol of atoms

***

VASP calculation (GGA-PBE) on an optimized crystal structure of DyMg5Pt6.

a = 4.326 Å, b = 7.173 Å, c = 6.843 Å
α = 90.00°, β = 108.16°, γ = 90.00°
Atoms (fractional coordinates):
Dy: 0.000 0.000 0.000
Mg: 0.000 0.500 0.000
Mg: 0.327 0.000 0.654
Mg: 0.334 0.500 0.669
Mg: 0.666 0.500 0.331
Mg: 0.673 0.000 0.346
Pt: 0.171 0.258 0.340
Pt: 0.171 0.742 0.340
Pt: 0.500 0.261 0.000
Pt: 0.500 0.739 0.000
Pt: 0.829 0.258 0.660
Pt: 0.829 0.742 0.660

Calculated values
**Formation enthalpy at 0 K**: -0.913 eV per atom